Crystalline DyCrBrO4 at its relaxed geometry, computed with PBE+U.

```
DyCrBrO4
1.0
5.1066 -3.5822 0.0000
5.1066 3.5822 0.0000
-1.7409 0.0000 6.5154
Dy Cr Br O
2 2 2 8
Cartesian
2.1734 0.0000 0.7911
6.2987 0.0000 5.7243
2.4147 0.0000 4.7734
6.0574 0.0000 1.7420
-1.1490 0.0000 4.9164
9.6212 0.0000 1.5990
1.6826 1.3141 5.5617
2.1248 0.0000 3.1559
4.4328 0.0000 1.4775
1.6826 -1.3141 5.5617
6.7896 1.3141 0.9537
4.0393 0.0000 5.0379
6.3474 0.0000 3.3595
6.7896 -1.3141 0.9537
```

## Properties
The calculation puts the total energy at -6.730 eV per atom.